# 1
DFT (PBEsol) results for a geometry-optimized ZrTiCr4 structure.

Summary:
The density comes out at 6.98 g/cm³. As for the energy of formation from the pure elements: -0.060 eV per atom. The volume is 13.76 A^3/atom.

abc: 4.8878 4.8878 4.8878
angles: 60.00 60.00 60.00
Last column: nearest neighbours and their distance in Å.
Fractional coordinates of all 6 atoms:
Cr  0.3752  0.8743  0.3752  6 Cr 2.44-2.45
Ti  0.7500  0.7500  0.7500  12 Cr 2.87, 4 Zr 2.99
Cr  0.8743  0.3752  0.3752  6 Cr 2.44-2.45
Cr  0.3752  0.3752  0.8743  6 Cr 2.44-2.45
Zr  0.0000  0.0000  0.0000  12 Cr 2.87, 4 Ti 2.99
Cr  0.3752  0.3752  0.3752  6 Cr 2.44-2.45

# 2
DFT (PBEsol) results for a geometry-optimized Tl3Cr structure.

Summary:
The density comes out at 11.27 g/cm³. As for the energy of formation from the pure elements: 0.512 eV per atom. The volume is 24.50 A^3/atom.

abc: 5.1749 5.1749 5.1749
angles: 60.00 60.00 60.00
Last column: nearest neighbours and their distance in Å.
Fractional coordinates of all 4 atoms:
Cr  0.0000  0.0000  0.0000  8 Tl 3.17
Tl  0.7500  0.7500  0.7500  4 Tl 3.17, 4 Cr 3.17
Tl  0.5000  0.5000  0.5000  8 Tl 3.17
Tl  0.2500  0.2500  0.2500  4 Cr 3.17, 4 Tl 3.17

# 3
DFT (PBEsol) results for a geometry-optimized Tl3Cr structure.

Summary:
The density comes out at 11.23 g/cm³. As for the energy of formation from the pure elements: 0.519 eV per atom. The volume is 24.59 A^3/atom.

abc: 3.3418 5.9356 5.9356
angles: 116.56 100.82 100.82
Last column: nearest neighbours and their distance in Å.
Fractional coordinates of all 4 atoms:
Tl  0.0000  0.5000  0.5000  6 Tl 3.12-3.34, 2 Cr 3.12
Tl  0.5000  0.0000  0.5000  6 Tl 3.12-3.34, 2 Cr 3.12
Cr  0.0000  0.0000  0.0000  6 Tl 3.12, 2 Cr 3.34
Tl  0.5000  0.5000  0.0000  6 Tl 3.12-3.34, 2 Cr 3.12

Number 1: energy -9.790 eV per atom. Number 2: energy -4.021 eV per atom. Number 3: energy -4.014 eV per atom.